Computed, not measured: a relaxed structure of HfZrBe2 at the GGA-PBE level of DFT.

a = 7.064 Å, b = 7.064 Å, c = 5.654 Å
α = 51.34°, β = 51.34°, γ = 90.00°
Positions (direct):
Be (0.123, 0.625, 0.250)
Zr (0.250, 0.750, 0.500)
Be (0.375, 0.373, 0.750)
Hf (0.750, 0.250, 0.500)
Be (0.875, 0.877, 0.750)
Zr (0.500, 0.500, 0.000)
Be (0.627, 0.125, 0.250)
Hf (0.000, 0.000, 0.000)

Properties
The calculation puts the total magnetization at 0.000 μB/f.u. As for the symmetry: I-42d. The calculation puts the formation enthalpy at 0 K at 0.45 eV per atom.